Density functional theory data (GGA-PBE) for crystalline Ce2HoGa at its relaxed geometry.

The value obtained for the relative energy among the computed polymorphs is 47 meV/atom. The total magnetic moment comes out at 1.3 μB per cell. The value obtained for the total energy is -5.11 eV/atom. The formation energy comes out at -0.240 eV/atom.

It has space group P4/mmm (No. 123), with a = 4.439 Å, b = 4.439 Å, c = 5.057 Å, α = 90.00°, β = 90.00° and γ = 90.00°. The distinct sites, in fractional coordinates, are Ce at (0.000, 0.500, 0.000), Ho at (0.000, 0.000, 0.500) and Ga at (0.500, 0.500, 0.500).